No. 1
# SrAg2Rh2 | the Alexandria database | PBE | optimized geometry
data_SrAg2Rh2
_cell_length_a 4.533
_cell_length_b 4.533
_cell_length_c 10.544
_cell_angle_alpha 90.00
_cell_angle_beta 90.00
_cell_angle_gamma 90.00
_space_group_name_H-M_alt 'I 4/m m m'
_space_group_IT_number 139
_space_group_name_Hall '-I 4 2'
loop_
_atom_site_label
_atom_site_type_symbol
_atom_site_fract_x
_atom_site_fract_y
_atom_site_fract_z
Sr1 Sr 0.000 0.000 0.000
Ag1 Ag 0.000 0.500 0.250
Rh1 Rh 0.000 0.000 0.388
# Crystal system: tetragonal
# Energy relative to the elements (eV/atom): 0.12

No. 2
# Sr5Mg4 | the Alexandria database | PBE | optimized geometry
data_Sr5Mg4
_cell_length_a 10.6337
_cell_length_b 10.6337
_cell_length_c 7.3546
_cell_angle_alpha 90.00
_cell_angle_beta 90.00
_cell_angle_gamma 120.00
_space_group_name_H-M_alt 'P 63/m c m'
_space_group_IT_number 193
_space_group_name_Hall '-P 6c 2'
loop_
_atom_site_label
_atom_site_type_symbol
_atom_site_fract_x
_atom_site_fract_y
_atom_site_fract_z
Sr1 Sr 0.0000 0.2880 0.2500
Sr2 Sr 0.3333 0.6667 0.0000
Mg1 Mg 0.0000 0.0000 0.0000
Mg2 Mg 0.0000 0.3742 0.7500
# Crystal system: hexagonal
# Energy relative to the elements (eV/atom): 0.02

No. 3
# CuPd3Pt3 | the Alexandria database | PBE | optimized geometry
data_CuPd3Pt3
_cell_length_a 10.0469
_cell_length_b 10.0469
_cell_length_c 2.7120
_cell_angle_alpha 90.00
_cell_angle_beta 90.00
_cell_angle_gamma 120.00
_space_group_name_H-M_alt 'P 63/m'
_space_group_IT_number 176
_space_group_name_Hall '-P 6c'
loop_
_atom_site_label
_atom_site_type_symbol
_atom_site_fract_x
_atom_site_fract_y
_atom_site_fract_z
Cu1 Cu 0.3333 0.6667 0.2500
Pd1 Pd 0.1102 0.8333 0.2500
Pt1 Pt 0.0939 0.4662 0.7500
# Crystal system: hexagonal
# Energy relative to the elements (eV/atom): 0.18

No. 4
# ErScAlPd | the Alexandria database | PBE | optimized geometry
data_ErScAlPd
_cell_length_a 3.454
_cell_length_b 3.454
_cell_length_c 6.822
_cell_angle_alpha 90.00
_cell_angle_beta 90.00
_cell_angle_gamma 90.00
_space_group_name_H-M_alt 'P 4 m m'
_space_group_IT_number 99
loop_
_space_group_symop_operation_xyz
'x,y,z'
'-y,x,z'
'-x,-y,z'
'y,-x,z'
'-x,y,z'
'y,x,z'
'x,-y,z'
'-y,-x,z'
loop_
_atom_site_label
_atom_site_type_symbol
_atom_site_fract_x
_atom_site_fract_y
_atom_site_fract_z
Er1 Er 0.000 0.000 0.000
Sc1 Sc 0.000 0.000 0.481
Al1 Al 0.500 0.500 0.719
Pd1 Pd 0.500 0.500 0.268
# Crystal system: tetragonal
# Energy relative to the elements (eV/atom): -0.67

No. 5
# LaAg2Br | the Alexandria database | PBE | optimized geometry
data_LaAg2Br
_cell_length_a 4.6326
_cell_length_b 4.6326
_cell_length_c 20.7382
_cell_angle_alpha 90.00
_cell_angle_beta 90.00
_cell_angle_gamma 120.00
_space_group_name_H-M_alt 'R 3 m'
_space_group_IT_number 160
_space_group_name_Hall 'R 3 -2"'
loop_
_atom_site_label
_atom_site_type_symbol
_atom_site_fract_x
_atom_site_fract_y
_atom_site_fract_z
La1 La 0.0000 0.0000 0.0000
Ag1 Ag 0.0000 0.0000 0.2570
Ag2 Ag 0.0000 0.0000 0.5618
Br1 Br 0.0000 0.0000 0.7477
# Formation energy without anion corrections (meV/atom): -561.3
# Crystal system: trigonal

No. 6
# CrRhW2 | the Alexandria database | PBE | optimized geometry
data_CrRhW2
_cell_length_a 2.676
_cell_length_b 3.924
_cell_length_c 5.628
_cell_angle_alpha 90.00
_cell_angle_beta 90.00
_cell_angle_gamma 90.00
_space_group_name_H-M_alt 'P m m 2'
_space_group_IT_number 25
loop_
_space_group_symop_operation_xyz
'x,y,z'
'-x,-y,z'
'-x,y,z'
'x,-y,z'
loop_
_atom_site_label
_atom_site_type_symbol
_atom_site_fract_x
_atom_site_fract_y
_atom_site_fract_z
Cr1 Cr 0.000 0.000 0.000
Rh1 Rh 0.500 0.500 0.230
W1 W 0.000 0.000 0.481
W2 W 0.500 0.500 0.756
# Crystal system: orthorhombic
# Energy relative to the elements (eV/atom): 0.18

No. 7
# TcOs2Br | the Alexandria database | PBE | optimized geometry
data_TcOs2Br
_cell_length_a 4.664
_cell_length_b 4.664
_cell_length_c 2.862
_cell_angle_alpha 90.00
_cell_angle_beta 90.00
_cell_angle_gamma 90.00
_space_group_name_H-M_alt 'P 4/m m m'
_space_group_IT_number 123
_space_group_name_Hall '-P 4 2'
loop_
_atom_site_label
_atom_site_type_symbol
_atom_site_fract_x
_atom_site_fract_y
_atom_site_fract_z
Tc1 Tc 0.000 0.000 0.000
Os1 Os 0.000 0.500 0.500
Br1 Br 0.500 0.500 0.000
# Formation energy without anion corrections (meV/atom): 1342.7
# Crystal system: tetragonal

No. 8
# TaNiGePtAu | the Alexandria database | PBE | optimized geometry
data_TaNiGePtAu
_cell_length_a 9.385
_cell_length_b 2.955
_cell_length_c 6.924
_cell_angle_alpha 90.00
_cell_angle_beta 126.04
_cell_angle_gamma 90.00
_space_group_name_H-M_alt 'C 1 m 1'
_space_group_IT_number 8
loop_
_space_group_symop_operation_xyz
'x,y,z'
'x,-y,z'
'x+1/2,y+1/2,z'
'x+1/2,-y+1/2,z'
loop_
_atom_site_label
_atom_site_type_symbol
_atom_site_fract_x
_atom_site_fract_y
_atom_site_fract_z
Ta1 Ta 0.000 0.000 0.000
Ni1 Ni 0.372 0.000 0.602
Ge1 Ge 0.120 0.500 0.411
Pt1 Pt 0.314 0.500 0.209
Au1 Au 0.172 0.000 0.778
# Crystal system: monoclinic
# Energy relative to the elements (eV/atom): -0.17

no.,magnetization (μB/f.u.)
1,0.01
2,0.00
3,0.00
4,0.00
5,0.00
6,0.00
7,0.00
8,0.00